# 1
Here is a geometry-optimized PaSi2NiPd structure from Alexandria. Energies are from PBE.

Output
**Spin magnetization**: 0.000 μB per atom
**E_form (uncorrected)**: -17.56 kcal/mol of atoms
**DOS at the Fermi energy**: 0.55 states/eV/atom
**E**: -70.25 eV per cell

The structure in CIF format:
```
data_PaSi2NiPd
_cell_length_a 4.048
_cell_length_b 4.048
_cell_length_c 9.878
_cell_angle_alpha 90.00
_cell_angle_beta 90.00
_cell_angle_gamma 90.00
_symmetry_space_group_name_H-M 'I -4 m 2'
_symmetry_Int_Tables_number 119
_symmetry_space_group_name_Hall 'I -4 -2'
loop_
_atom_site_label
_atom_site_type_symbol
_atom_site_fract_x
_atom_site_fract_y
_atom_site_fract_z
Pa1 Pa 0.000 0.000 0.000
Si1 Si 0.000 0.000 0.382
Ni1 Ni 0.000 0.500 0.250
Pd1 Pd 0.000 0.500 0.750
```

---

# 2
Here is a geometry-optimized CdSbMo structure from Alexandria. Energies are from PBE.

Output
**Spin magnetization**: 0.002 μB per atom
**E_form (uncorrected)**: 7.33 kcal/mol of atoms
**DOS at the Fermi energy**: 0.89 states/eV/atom
**E**: -29.83 eV per cell
**Relative energy among the computed polymorphs**: 0.00 eV per formula unit

The structure in CIF format:
```
data_CdSbMo
_cell_length_a 3.480
_cell_length_b 3.480
_cell_length_c 9.977
_cell_angle_alpha 90.00
_cell_angle_beta 90.00
_cell_angle_gamma 90.00
_symmetry_space_group_name_H-M 'I 4 m m'
_symmetry_Int_Tables_number 107
_symmetry_space_group_name_Hall 'I 4 -2'
loop_
_atom_site_label
_atom_site_type_symbol
_atom_site_fract_x
_atom_site_fract_y
_atom_site_fract_z
Cd1 Cd 0.000 0.000 0.000
Sb1 Sb 0.000 0.000 0.693
Mo1 Mo 0.000 0.000 0.323
```

---

# 3
Here is a geometry-optimized Th2GeRh5 structure from Alexandria. Energies are from PBE.

Output
**Spin magnetization**: 0.000 μB per atom
**Energy of formation from the pure elements**: -0.743 eV per atom
**DOS at the Fermi energy**: 0.60 states/eV/atom
**E**: -248.63 eV per cell

The structure in CIF format:
```
data_Th2GeRh5
_cell_length_a 8.315
_cell_length_b 5.890
_cell_length_c 12.389
_cell_angle_alpha 90.00
_cell_angle_beta 90.00
_cell_angle_gamma 90.00
_symmetry_space_group_name_H-M 'P n m a'
_symmetry_Int_Tables_number 62
loop_
_symmetry_equiv_pos_as_xyz
'x,y,z'
'-x,-y,-z'
'-x+1/2,-y,z+1/2'
'x+1/2,y,-z+1/2'
'x+1/2,-y+1/2,-z+1/2'
'-x+1/2,y+1/2,z+1/2'
'-x,y+1/2,-z'
'x,-y+1/2,z'
loop_
_atom_site_label
_atom_site_type_symbol
_atom_site_fract_x
_atom_site_fract_y
_atom_site_fract_z
Th1 Th 0.072 0.250 0.204
Th2 Th 0.202 0.750 0.413
Ge1 Ge 0.199 0.750 0.111
Rh1 Rh 0.000 0.000 0.000
Rh2 Rh 0.041 0.250 0.786
Rh3 Rh 0.081 0.519 0.605
Rh4 Rh 0.216 0.250 0.415
```

---

# 4
Here is a geometry-optimized AcYSb structure from Alexandria. Energies are from PBE.

Output
**Spin magnetization**: 0.330 μB per atom
**E_form (uncorrected)**: -14.41 kcal/mol of atoms
**DOS at the Fermi energy**: 0.78 states/eV/atom
**E**: -33.14 eV per cell
**Relative energy among the computed polymorphs**: 0.00 eV per formula unit

The structure in CIF format:
```
data_AcYSb
_cell_length_a 4.094
_cell_length_b 4.094
_cell_length_c 12.062
_cell_angle_alpha 90.00
_cell_angle_beta 90.00
_cell_angle_gamma 90.00
_symmetry_space_group_name_H-M 'I 4 m m'
_symmetry_Int_Tables_number 107
_symmetry_space_group_name_Hall 'I 4 -2'
loop_
_atom_site_label
_atom_site_type_symbol
_atom_site_fract_x
_atom_site_fract_y
_atom_site_fract_z
Ac1 Ac 0.000 0.000 0.000
Y1 Y 0.000 0.000 0.292
Sb1 Sb 0.000 0.000 0.683
```

---

# 5
Here is a geometry-optimized FeHg structure from Alexandria. Energies are from PBE.

Output
**Spin magnetization**: 1.404 μB per atom
**Energy of formation from the pure elements**: 0.613 eV per atom
**DOS at the Fermi energy**: 0.81 states/eV/atom
**E**: -15.08 eV per cell

The structure in CIF format:
```
data_FeHg
_cell_length_a 4.3199
_cell_length_b 4.3199
_cell_length_c 4.7984
_cell_angle_alpha 90.00
_cell_angle_beta 90.00
_cell_angle_gamma 120.00
_symmetry_space_group_name_H-M 'P 63/m m c'
_symmetry_Int_Tables_number 194
_symmetry_space_group_name_Hall '-P 6c 2c'
loop_
_atom_site_label
_atom_site_type_symbol
_atom_site_fract_x
_atom_site_fract_y
_atom_site_fract_z
Fe1 Fe 0.0000 0.0000 0.0000
Hg1 Hg 0.3333 0.6667 0.2500
```

---

# 6
Here is a geometry-optimized Pm2PrNd6Sm structure from Alexandria. Energies are from PBE.

Output
**Spin magnetization**: 0.000 μB per atom
**Energy of formation from the pure elements**: 0.113 eV per atom
**DOS at the Fermi energy**: 1.57 states/eV/atom
**E**: -185.93 eV per cell

The structure in CIF format:
```
data_Pm2PrNd6Sm
_cell_length_a 9.267
_cell_length_b 15.428
_cell_length_c 10.015
_cell_angle_alpha 90.00
_cell_angle_beta 99.22
_cell_angle_gamma 90.00
_symmetry_space_group_name_H-M 'C 1 2/c 1'
_symmetry_Int_Tables_number 15
loop_
_symmetry_equiv_pos_as_xyz
'x,y,z'
'-x,-y,-z'
'-x,y,-z+1/2'
'x,-y,z+1/2'
'x+1/2,y+1/2,z'
'-x+1/2,-y+1/2,-z'
'-x+1/2,y+1/2,-z+1/2'
'x+1/2,-y+1/2,z+1/2'
loop_
_atom_site_label
_atom_site_type_symbol
_atom_site_fract_x
_atom_site_fract_y
_atom_site_fract_z
Pm1 Pm 0.240 0.049 0.043
Pr1 Pr 0.000 0.405 0.250
Nd1 Nd 0.068 0.184 0.445
Nd2 Nd 0.101 0.397 0.621
Nd3 Nd 0.203 0.224 0.815
Sm1 Sm 0.000 0.020 0.750
```

---

# 7
Here is a geometry-optimized PuCu5S6 structure from Alexandria. Energies are from PBE.

Output
**Spin magnetization**: 0.345 μB per atom
**E_form (uncorrected)**: -9.26 kcal/mol of atoms
**DOS at the Fermi energy**: 0.96 states/eV/atom
**E**: -128.79 eV per cell

The structure in CIF format:
```
data_PuCu5S6
_cell_length_a 6.473
_cell_length_b 10.514
_cell_length_c 6.446
_cell_angle_alpha 90.00
_cell_angle_beta 113.14
_cell_angle_gamma 90.00
_symmetry_space_group_name_H-M 'C 1 2/m 1'
_symmetry_Int_Tables_number 12
loop_
_symmetry_equiv_pos_as_xyz
'x,y,z'
'-x,-y,-z'
'-x,y,-z'
'x,-y,z'
'x+1/2,y+1/2,z'
'-x+1/2,-y+1/2,-z'
'-x+1/2,y+1/2,-z'
'x+1/2,-y+1/2,z'
loop_
_atom_site_label
_atom_site_type_symbol
_atom_site_fract_x
_atom_site_fract_y
_atom_site_fract_z
Pu1 Pu 0.000 0.000 0.000
Cu1 Cu 0.000 0.167 0.500
Cu2 Cu 0.000 0.347 0.000
Cu3 Cu 0.000 0.500 0.500
S1 S 0.178 0.331 0.756
S2 S 0.214 0.000 0.717
```

---

# 8
Here is a geometry-optimized KTa3C structure from Alexandria. Energies are from PBE.

Output
**Spin magnetization**: 0.000 μB per atom
**Energy of formation from the pure elements**: 4.206 eV per atom
**DOS at the Fermi energy**: 1.34 states/eV/atom
**E**: -24.85 eV per cell
**Relative energy among the computed polymorphs**: 16.13 eV per formula unit

The structure in CIF format:
```
data_KTa3C
_cell_length_a 4.578
_cell_length_b 4.578
_cell_length_c 4.578
_cell_angle_alpha 90.00
_cell_angle_beta 90.00
_cell_angle_gamma 90.00
_symmetry_space_group_name_H-M 'P m -3 m'
_symmetry_Int_Tables_number 221
_symmetry_space_group_name_Hall '-P 4 2 3'
loop_
_atom_site_label
_atom_site_type_symbol
_atom_site_fract_x
_atom_site_fract_y
_atom_site_fract_z
K1 K 0.000 0.000 0.000
Ta1 Ta 0.000 0.000 0.500
C1 C 0.500 0.500 0.500
```